Computed, not measured: crystalline K2ScMn at its relaxed geometry at the PBE level of DFT.

a b c (Å): 3.547 3.547 11.399
angles (deg): 90.00 90.00 90.00
Space group P4mm (No. 99)
One atom of each set of equivalent atoms:
K 0.000 0.000 0.000 [1 per cell]
K 0.500 0.500 0.363 [1 per cell]
Sc 0.500 0.500 0.716 [1 per cell]
Mn 0.000 0.000 0.594 [1 per cell]

E above lowest polymorph: 0 meV per atom
Formation enthalpy at 0 K: 2.01 eV/f.u.
Calculated total energy: -3.922 eV/atom
Crystal system: tetragonal